Record 1
Density functional theory data (PBE) for a geometry-optimized CoH6N2Cl2 structure.

a = 6.6861 Å, b = 6.6861 Å, c = 6.6861 Å
α = 113.09°, β = 107.29°, γ = 108.10°
Last column: nearest neighbours and their distance in Å.
Atoms (fractional coordinates):
Co1 0.4933 0.2433 0.2500  2 N 2.07
Co2 0.5067 0.7567 0.7500  2 N 2.07
H1 0.0794 0.6479 0.4314  1 N 1.03
H2 0.1115 0.0588 0.8321  1 N 1.03
H3 0.1115 0.2793 0.0527  1 N 1.03
H4 0.2734 0.7207 0.3321  1 N 1.03
H5 0.2734 0.9412 0.5527  1 N 1.03
H6 0.2835 0.3521 0.9314  1 N 1.03
H7 0.7165 0.6479 0.0686  1 N 1.03
H8 0.7266 0.0588 0.4473  1 N 1.03
H9 0.7266 0.2793 0.6679  1 N 1.03
H10 0.8885 0.7207 0.9473  1 N 1.03
H11 0.8885 0.9412 0.1679  1 N 1.03
H12 0.9206 0.3521 0.5686  1 N 1.03
N1 0.2231 0.2346 0.9884  3 H 1.03
N2 0.2538 0.7654 0.4884  3 H 1.03
N3 0.7462 0.2346 0.5116  3 H 1.03
N4 0.7769 0.7654 0.0116  3 H 1.03
Cl1 0.2853 0.2937 0.5084  4 H 2.47-2.70, 2 Co 2.49-2.51
Cl2 0.2853 0.7769 0.9916  4 H 2.47-2.70, 2 Co 2.49-2.51
Cl3 0.7147 0.2231 0.0084  4 H 2.47-2.70, 2 Co 2.49-2.51
Cl4 0.7147 0.7063 0.4916  4 H 2.47-2.70, 2 Co 2.49-2.51

## Properties
* space group: Imma, No. 74
* theoretical density: 2.37 g/cm³
* raw total energy: -4.804 eV/atom
* total moment: 6.0 Bohr magnetons per cell

---

Record 2
Density functional theory data (PBE) for a geometry-optimized CoH15PdN5Cl5 structure.

a = 16.1675 Å, b = 9.1553 Å, c = 7.8780 Å
α = 90.00°, β = 90.00°, γ = 90.00°
Last column: nearest neighbours and their distance in Å.
Atoms (fractional coordinates):
Co1 0.1002 0.1444 0.0000  5 N 1.95-1.97
Co2 0.3998 0.6444 0.5000  5 N 1.95-1.97
Co3 0.6002 0.3556 0.0000  5 N 1.95-1.97
Co4 0.8998 0.8556 0.5000  5 N 1.95-1.97
H1 0.0012 0.1900 0.7615  1 N 1.03
H2 0.0147 0.3467 0.8650  1 N 1.03
H3 0.0153 0.7149 0.6455  1 N 1.03
H4 0.0357 0.1898 0.2862  1 N 1.03
H5 0.0724 0.3477 0.2181  1 N 1.03
H6 0.0835 0.2899 0.7269  1 N 1.03
H7 0.1104 0.9741 0.7508  1 N 1.03
H8 0.1417 0.9228 0.1750  1 N 1.03
H9 0.1512 0.0713 0.2946  1 N 1.03
H10 0.1666 0.3928 0.9643  1 N 1.04
H11 0.1859 0.0954 0.7329  1 N 1.03
H12 0.1962 0.9553 0.8643  1 N 1.03
H13 0.2136 0.3012 0.1191  1 N 1.03
H14 0.2231 0.0329 0.1549  1 N 1.03
H15 0.2369 0.2624 0.9204  1 N 1.04
H16 0.2631 0.7624 0.4204  1 N 1.04
H17 0.2769 0.5329 0.6549  1 N 1.03
H18 0.2864 0.8012 0.6191  1 N 1.03
H19 0.3038 0.4553 0.3643  1 N 1.03
H20 0.3141 0.5954 0.2329  1 N 1.03
H21 0.3334 0.8928 0.4643  1 N 1.04
H22 0.3488 0.5713 0.7946  1 N 1.03
H23 0.3583 0.4228 0.6750  1 N 1.03
H24 0.3896 0.4741 0.2508  1 N 1.03
H25 0.4165 0.7899 0.2269  1 N 1.03
H26 0.4276 0.8477 0.7181  1 N 1.03
H27 0.4643 0.6898 0.7862  1 N 1.03
H28 0.4847 0.2149 0.1455  1 N 1.03
H29 0.4853 0.8467 0.3650  1 N 1.03
H30 0.4988 0.6900 0.2615  1 N 1.03
H31 0.5012 0.3100 0.7615  1 N 1.03
H32 0.5147 0.1533 0.8650  1 N 1.03
H33 0.5153 0.7851 0.6455  1 N 1.03
H34 0.5357 0.3102 0.2862  1 N 1.03
H35 0.5724 0.1523 0.2181  1 N 1.03
H36 0.5835 0.2101 0.7269  1 N 1.03
H37 0.6104 0.5259 0.7508  1 N 1.03
H38 0.6417 0.5772 0.1750  1 N 1.03
H39 0.6512 0.4287 0.2946  1 N 1.03
H40 0.6666 0.1072 0.9643  1 N 1.04
H41 0.6859 0.4046 0.7329  1 N 1.03
H42 0.6962 0.5447 0.8643  1 N 1.03
H43 0.7136 0.1988 0.1191  1 N 1.03
H44 0.7231 0.4671 0.1549  1 N 1.03
H45 0.7369 0.2376 0.9204  1 N 1.04
H46 0.7631 0.7376 0.4204  1 N 1.04
H47 0.7769 0.9671 0.6549  1 N 1.03
H48 0.7864 0.6988 0.6191  1 N 1.03
H49 0.8038 0.0447 0.3643  1 N 1.03
H50 0.8141 0.9046 0.2329  1 N 1.03
H51 0.8334 0.6072 0.4643  1 N 1.04
H52 0.8488 0.9287 0.7946  1 N 1.03
H53 0.8583 0.0772 0.6750  1 N 1.03
H54 0.8896 0.0259 0.2508  1 N 1.03
H55 0.9165 0.7101 0.2269  1 N 1.03
H56 0.9276 0.6523 0.7181  1 N 1.03
H57 0.9643 0.8102 0.7862  1 N 1.03
H58 0.9847 0.2851 0.1455  1 N 1.03
H59 0.9853 0.6533 0.3650  1 N 1.03
H60 0.9988 0.8100 0.2615  1 N 1.03
Pd1 0.1561 0.6611 0.9922  4 Cl 2.31-2.35, 1 H 2.47
Pd2 0.3439 0.1611 0.4922  4 Cl 2.31-2.35, 1 H 2.47
Pd3 0.6561 0.8389 0.9922  4 Cl 2.31-2.35, 1 H 2.47
Pd4 0.8439 0.3389 0.4922  4 Cl 2.31-2.35, 1 H 2.47
N1 0.0438 0.2532 0.1791  3 H 1.03
N2 0.0445 0.2542 0.8214  3 H 1.03
N3 0.1545 0.0306 0.8185  3 H 1.03
N4 0.1599 0.0306 0.1739  3 H 1.03
N5 0.1883 0.2908 0.9999  3 H 1.03-1.04
N6 0.3117 0.7908 0.4999  3 H 1.03-1.04
N7 0.3401 0.5306 0.6739  3 H 1.03
N8 0.3455 0.5306 0.3185  3 H 1.03
N9 0.4562 0.7532 0.6791  3 H 1.03
N10 0.4555 0.7542 0.3214  3 H 1.03
N11 0.5445 0.2458 0.8214  3 H 1.03
N12 0.5438 0.2468 0.1791  3 H 1.03
N13 0.6545 0.4694 0.8185  3 H 1.03
N14 0.6599 0.4694 0.1739  3 H 1.03
N15 0.6883 0.2092 0.9999  3 H 1.03-1.04
N16 0.8117 0.7092 0.4999  3 H 1.03-1.04
N17 0.8401 0.9694 0.6739  3 H 1.03
N18 0.8455 0.9694 0.3185  3 H 1.03
N19 0.9555 0.7458 0.3214  3 H 1.03
N20 0.9562 0.7468 0.6791  3 H 1.03
Cl1 0.0060 0.0159 0.5064  1 Co 2.26, 1 H 2.40
Cl2 0.0228 0.5699 0.9986  1 H 2.30, 1 Pd 2.31
Cl3 0.1524 0.6576 0.6988  1 Pd 2.31, 2 H 2.32-2.34
Cl4 0.1557 0.6602 0.2859  1 H 2.24, 1 Pd 2.31
Cl5 0.2102 0.2626 0.4888  1 Pd 2.35, 3 H 2.49-2.52
Cl6 0.2898 0.7626 0.9888  1 Pd 2.35, 3 H 2.49-2.52
Cl7 0.3443 0.1602 0.7859  1 H 2.24, 1 Pd 2.31
Cl8 0.3476 0.1576 0.1988  1 Pd 2.31, 2 H 2.32-2.34
Cl9 0.4772 0.0699 0.4986  1 H 2.30, 1 Pd 2.31
Cl10 0.4940 0.5159 0.0064  1 Co 2.26, 1 H 2.40
Cl11 0.5060 0.4841 0.5064  1 Co 2.26, 1 H 2.40
Cl12 0.5228 0.9301 0.9986  1 H 2.30, 1 Pd 2.31
Cl13 0.6524 0.8424 0.6988  1 Pd 2.31, 2 H 2.32-2.34
Cl14 0.6557 0.8398 0.2859  1 H 2.24, 1 Pd 2.31
Cl15 0.7102 0.2374 0.4888  1 Pd 2.35, 3 H 2.49-2.52
Cl16 0.7898 0.7374 0.9888  1 Pd 2.35, 3 H 2.49-2.52
Cl17 0.8443 0.3398 0.7859  1 H 2.24, 1 Pd 2.31
Cl18 0.8476 0.3424 0.1988  1 Pd 2.31, 2 H 2.32-2.34
Cl19 0.9772 0.4301 0.4986  1 H 2.30, 1 Pd 2.31
Cl20 0.9940 0.9841 0.0064  1 Co 2.26, 1 H 2.40

## Properties
* space group: Pna2_1, No. 33
* theoretical density: 2.44 g/cm³
* raw total energy: -4.731 eV/atom
* total moment: 0.0 Bohr magnetons per cell